--- a ---
The following is a PBE-GGA calculation of an optimized crystal structure of NbReMo3, from Alexandria via LeMat-Bulk.

Calculated values
Fermi-level density of states ... 0.86 states/eV per atom

Cell lengths 5.199, 8.596, 7.688 Å; angles 90.00, 90.00, 90.00 degrees
Space group Pnma (No. 62)
Asymmetric unit:
Nb  0.227  0.250  0.155 x4
Re  0.000  0.000  0.500 x4
Mo  0.063  0.050  0.837 x8
Mo  0.246  0.750  0.042 x4

***

--- b ---
The following is a PBE-GGA calculation of an optimized crystal structure of NbReMo3, from Alexandria via LeMat-Bulk.

Calculated values
Fermi-level density of states ... 1.05 states/eV per atom

Cell lengths 4.695, 4.695, 4.695 Å; angles 90.00, 90.00, 90.00 degrees
Space group Pm-3m (No. 221)
Asymmetric unit:
Nb  0.000  0.000  0.000 x1
Re  0.500  0.500  0.500 x1
Mo  0.000  0.500  0.500 x3

***

Stability, highest: a

***

--- a ---
The following is a PBE-GGA calculation of an optimized crystal structure of NbReMo3, from Alexandria via LeMat-Bulk.

Calculated values
Fermi-level density of states ... 0.68 states/eV per atom

Cell lengths 14.174, 6.348, 10.052 Å; angles 90.00, 134.64, 90.00 degrees
Space group C2/c (No. 15)
Asymmetric unit:
Nb  0.100  0.126  0.150 x8
Re  0.000  0.127  0.750 x4
Re  0.000  0.378  0.250 x4
Mo  0.099  0.376  0.648 x8
Mo  0.201  0.375  0.048 x8
Mo  0.202  0.124  0.550 x8

***

--- b ---
The following is a PBE-GGA calculation of an optimized crystal structure of NbReMo3, from Alexandria via LeMat-Bulk.

Calculated values
Fermi-level density of states ... 0.76 states/eV per atom

Cell lengths 4.644, 4.644, 4.644 Å; angles 90.00, 90.00, 90.00 degrees
Space group Pm-3m (No. 221)
Asymmetric unit:
Nb  0.000  0.000  0.000 x1
Re  0.500  0.500  0.500 x1
Mo  0.000  0.000  0.500 x3

***

Stability, highest: a

***

--- a ---
The following is a PBE-GGA calculation of an optimized crystal structure of Nb4ReMo2, from Alexandria via LeMat-Bulk.

Calculated values
Fermi-level density of states ... 0.71 states/eV per atom

Cell lengths 6.334, 6.334, 6.421 Å; angles 90.00, 90.00, 90.00 degrees
Space group I4/mmm (No. 139)
Asymmetric unit:
Nb  0.250  0.250  0.250 x8
Re  0.000  0.000  0.000 x2
Mo  0.000  0.500  0.000 x4

***

--- b ---
The following is a PBE-GGA calculation of an optimized crystal structure of Nb4ReMo2, from Alexandria via LeMat-Bulk.

Calculated values
Fermi-level density of states ... 0.97 states/eV per atom

Cell lengths 5.349, 6.168, 8.283 Å; angles 89.92, 78.78, 70.55 degrees
Space group P-1 (No. 2)
Asymmetric unit:
Nb  0.165  0.260  0.255 x2
Nb  0.177  0.324  0.856 x2
Nb  0.196  0.782  0.342 x2
Nb  0.332  0.756  0.739 x2
Re  0.261  0.433  0.537 x2
Mo  0.000  0.000  0.000 x1
Mo  0.500  0.000  0.000 x1
Mo  0.500  0.000  0.500 x1
Mo  0.500  0.500  0.000 x1

***

Stability, highest: a

***

--- a ---
The following is a PBE-GGA calculation of an optimized crystal structure of NbReMo6, from Alexandria via LeMat-Bulk.

Calculated values
Fermi-level density of states ... 0.66 states/eV per atom

Cell lengths 9.2167, 9.2167, 5.3651 Å; angles 90.00, 90.00, 120.00 degrees
Space group R-3m (No. 166, hexagonal axes)
Asymmetric unit:
Nb  0.0000  0.0000  0.0000 x3
Re  0.0000  0.0000  0.5000 x3
Mo  0.0065  0.5032  0.2545 x18

***

--- b ---
The following is a PBE-GGA calculation of an optimized crystal structure of NbReMo6, from Alexandria via LeMat-Bulk.

Calculated values
Fermi-level density of states ... 0.76 states/eV per atom

Cell lengths 7.270, 5.271, 7.713 Å; angles 90.00, 104.41, 90.00 degrees
Space group C2/m (No. 12)
Asymmetric unit:
Nb  0.000  0.000  0.000 x2
Re  0.000  0.500  0.500 x2
Mo  0.130  0.000  0.419 x4
Mo  0.200  0.241  0.791 x8

***

Stability, highest: a

***

--- a ---
The following is a PBE-GGA calculation of an optimized crystal structure of NbRe3Mo, from Alexandria via LeMat-Bulk.

Calculated values
Fermi-level density of states ... 1.98 states/eV per atom

Cell lengths 4.662, 4.662, 4.662 Å; angles 90.00, 90.00, 90.00 degrees
Space group Pm-3m (No. 221)
Asymmetric unit:
Nb  0.000  0.000  0.000 x1
Re  0.000  0.000  0.500 x3
Mo  0.500  0.500  0.500 x1

***

--- b ---
The following is a PBE-GGA calculation of an optimized crystal structure of NbRe3Mo, from Alexandria via LeMat-Bulk.

Calculated values
Fermi-level density of states ... 0.98 states/eV per atom

Cell lengths 4.641, 4.641, 4.641 Å; angles 90.00, 90.00, 90.00 degrees
Space group Pm-3m (No. 221)
Asymmetric unit:
Nb  0.000  0.000  0.000 x1
Re  0.000  0.500  0.500 x3
Mo  0.500  0.500  0.500 x1

***

Stability, highest: b

***

--- a ---
The following is a PBE-GGA calculation of an optimized crystal structure of Nb2ReMo2, from Alexandria via LeMat-Bulk.

Calculated values
Fermi-level density of states ... 0.95 states/eV per atom

Cell lengths 5.800, 12.051, 4.960 Å; angles 90.00, 90.00, 90.00 degrees
Space group Ibam (No. 72)
Asymmetric unit:
Nb  0.154  0.193  0.000 x8
Re  0.000  0.000  0.250 x4
Mo  0.118  0.411  0.000 x8

***

--- b ---
The following is a PBE-GGA calculation of an optimized crystal structure of Nb2ReMo2, from Alexandria via LeMat-Bulk.

Calculated values
Fermi-level density of states ... 0.37 states/eV per atom

Cell lengths 3.196, 4.531, 11.509 Å; angles 90.00, 97.77, 90.00 degrees
Space group P2_1/m (No. 11)
Asymmetric unit:
Nb  0.051  0.250  0.100 x2
Nb  0.150  0.750  0.300 x2
Re  0.346  0.750  0.694 x2
Mo  0.248  0.250  0.497 x2
Mo  0.448  0.250  0.897 x2

***

Stability, highest: b

***

--- a ---
The following is a PBE-GGA calculation of an optimized crystal structure of Nb4ReMo3, from Alexandria via LeMat-Bulk.

Calculated values
Fermi-level density of states ... 0.48 states/eV per atom

Cell lengths 3.222, 4.561, 9.136 Å; angles 90.00, 90.00, 90.00 degrees
Space group Pmmm (No. 47)
Asymmetric unit:
Nb  0.000  0.000  0.000 x1
Nb  0.000  0.000  0.500 x1
Nb  0.000  0.500  0.248 x2
Re  0.500  0.500  0.000 x1
Mo  0.500  0.000  0.249 x2
Mo  0.500  0.500  0.500 x1

***

--- b ---
The following is a PBE-GGA calculation of an optimized crystal structure of Nb4ReMo3, from Alexandria via LeMat-Bulk.

Calculated values
Fermi-level density of states ... 0.87 states/eV per atom

Cell lengths 9.150, 5.444, 5.494 Å; angles 90.00, 90.00, 90.00 degrees
Space group Pmn2_1 (No. 31)
Asymmetric unit:
Nb  0.000  0.230  0.000 x2
Nb  0.000  0.734  0.989 x2
Nb  0.249  0.588  0.248 x4
Re  0.000  0.765  0.493 x2
Mo  0.000  0.265  0.496 x2
Mo  0.248  0.911  0.746 x4

***

Stability, highest: a

***

--- a ---
The following is a PBE-GGA calculation of an optimized crystal structure of Nb6Re2Mo, from Alexandria via LeMat-Bulk.

Calculated values
Fermi-level density of states ... 0.59 states/eV per atom

Cell lengths 4.5797, 4.5797, 8.4422 Å; angles 90.00, 90.00, 120.00 degrees
Space group P-3m1 (No. 164)
Asymmetric unit:
Nb  0.0000  0.0000  0.1636 x2
Nb  0.3333  0.6667  0.2699 x2
Nb  0.3333  0.6667  0.6120 x2
Re  0.3333  0.6667  0.9492 x2
Mo  0.0000  0.0000  0.5000 x1

***

--- b ---
The following is a PBE-GGA calculation of an optimized crystal structure of Nb6Re2Mo, from Alexandria via LeMat-Bulk.

Calculated values
Fermi-level density of states ... 0.86 states/eV per atom

Cell lengths 11.330, 3.068, 10.054 Å; angles 90.00, 111.32, 90.00 degrees
Space group C2/m (No. 12)
Asymmetric unit:
Nb  0.040  0.000  0.244 x4
Nb  0.140  0.500  0.036 x4
Nb  0.243  0.000  0.610 x4
Re  0.169  0.500  0.784 x4
Mo  0.000  0.000  0.500 x2

***

Stability, highest: a